DFT (PBE) results for a geometry-optimized Cs3HfTe6 structure.

CIF file:
```
data_Cs3HfTe6
_chemical_formula_sum 'Cs9 Hf3 Te18'
_symmetry_space_group_name_H-M 'R 3 m'
_symmetry_Int_Tables_number 160
_symmetry_space_group_name_Hall 'R 3 -2"'
_cell_length_a 15.3477
_cell_length_b 15.3477
_cell_length_c 7.2688
_cell_angle_alpha 90.00
_cell_angle_beta 90.00
_cell_angle_gamma 120.00
loop_
_atom_site_label
_atom_site_fract_x
_atom_site_fract_y
_atom_site_fract_z
Cs1 0.0073 0.5037 0.0000
Hf1 0.0000 0.0000 0.3719
Te1 0.0629 0.1257 0.7281
Te2 0.1928 0.0964 0.2266
```

Properties
size of the total moment	0.80	μB per formula unit
N(E_F)	0.25	states/eV per atom
formation energy without anion corrections	-579.2	meV/atom
calculated volume	49.4	Å³ per atom
DFT total energy	-3.7156	eV per atom
mass density	4.51	g/cm3

DFT (PBE) results for a geometry-optimized AsRh2Cl structure.

CIF file:
```
data_AsRh2Cl
_chemical_formula_sum 'As1 Rh2 Cl1'
_symmetry_space_group_name_H-M 'P 1 2/m 1'
_symmetry_Int_Tables_number 10
_symmetry_space_group_name_Hall '-P 2y'
_cell_length_a 4.181
_cell_length_b 3.016
_cell_length_c 5.247
_cell_angle_alpha 90.00
_cell_angle_beta 106.59
_cell_angle_gamma 90.00
loop_
_atom_site_label
_atom_site_fract_x
_atom_site_fract_y
_atom_site_fract_z
As1 0.000 0.000 0.000
Rh1 0.000 0.000 0.500
Rh2 0.500 0.500 0.000
Cl1 0.500 0.500 0.500
```

Properties
size of the total moment	0.00	μB per formula unit
N(E_F)	0.99	states/eV per atom
offset from the most stable computed form	357	meV per atom
formation energy without anion corrections	153.4	meV/atom
calculated volume	15.9	Å³ per atom
DFT total energy	-5.1464	eV per atom
mass density	8.28	g/cm3

DFT (PBE) results for a geometry-optimized MnSnPHS structure.

CIF file:
```
data_MnSnPHS
_chemical_formula_sum 'Mn2 Sn2 P2 H2 S2'
_symmetry_space_group_name_H-M 'C 1 m 1'
_symmetry_Int_Tables_number 8
_symmetry_space_group_name_Hall 'C -2y'
_cell_length_a 11.597
_cell_length_b 3.364
_cell_length_c 7.088
_cell_angle_alpha 90.00
_cell_angle_beta 126.09
_cell_angle_gamma 90.00
loop_
_atom_site_label
_atom_site_fract_x
_atom_site_fract_y
_atom_site_fract_z
Mn1 0.000 0.000 0.000
Sn1 0.200 0.500 0.704
P1 0.012 0.500 0.243
H1 0.389 0.000 0.243
S1 0.017 0.500 0.794
```

Properties
size of the total moment	3.56	μB per formula unit
N(E_F)	0.35	states/eV per atom
offset from the most stable computed form	3	meV per atom
calculated volume	22.3	Å³ per atom
DFT total energy	-5.3011	eV per atom
mass density	3.53	g/cm3

DFT (PBE) results for a geometry-optimized Ac3Si3Rh2 structure.

CIF file:
```
data_Ac3Si3Rh2
_chemical_formula_sum 'Ac12 Si12 Rh8'
_symmetry_space_group_name_H-M 'C m c m'
_symmetry_Int_Tables_number 63
_symmetry_space_group_name_Hall '-C 2c 2'
_cell_length_a 4.270
_cell_length_b 11.861
_cell_length_c 15.258
_cell_angle_alpha 90.00
_cell_angle_beta 90.00
_cell_angle_gamma 90.00
loop_
_atom_site_label
_atom_site_fract_x
_atom_site_fract_y
_atom_site_fract_z
Ac1 0.000 0.067 0.104
Ac2 0.000 0.349 0.250
Si1 0.000 0.330 0.036
Si2 0.000 0.349 0.750
Rh1 0.000 0.224 0.605
```

Properties
size of the total moment	0.00	μB per formula unit
N(E_F)	0.58	states/eV per atom
offset from the most stable computed form	54	meV per atom
formation energy without anion corrections	-737.5	meV/atom
calculated volume	24.2	Å³ per atom
DFT total energy	-6.1497	eV per atom
mass density	8.35	g/cm3

DFT (PBE) results for a geometry-optimized CrCd4Mo structure.

CIF file:
```
data_CrCd4Mo
_chemical_formula_sum 'Cr4 Cd16 Mo4'
_symmetry_space_group_name_H-M 'F -4 3 m'
_symmetry_Int_Tables_number 216
_symmetry_space_group_name_Hall 'F -4 2 3'
_cell_length_a 7.857
_cell_length_b 7.857
_cell_length_c 7.857
_cell_angle_alpha 90.00
_cell_angle_beta 90.00
_cell_angle_gamma 90.00
loop_
_atom_site_label
_atom_site_fract_x
_atom_site_fract_y
_atom_site_fract_z
Cr1 0.000 0.000 0.000
Cd1 0.125 0.125 0.375
Mo1 0.250 0.250 0.750
```

Properties
size of the total moment	0.04	μB per formula unit
N(E_F)	0.14	states/eV per atom
calculated volume	20.2	Å³ per atom
DFT total energy	-3.4380	eV per atom
mass density	8.18	g/cm3
formation energy from the elements	0.58	eV/atom

DFT (PBE) results for a geometry-optimized MgTeAs structure.

CIF file:
```
data_MgTeAs
_chemical_formula_sum 'Mg1 Te1 As1'
_symmetry_space_group_name_H-M 'P 3 m 1'
_symmetry_Int_Tables_number 156
_symmetry_space_group_name_Hall 'P 3 -2"'
_cell_length_a 4.3482
_cell_length_b 4.3482
_cell_length_c 4.6114
_cell_angle_alpha 90.00
_cell_angle_beta 90.00
_cell_angle_gamma 120.00
loop_
_atom_site_label
_atom_site_fract_x
_atom_site_fract_y
_atom_site_fract_z
Mg1 0.0000 0.0000 0.0000
Te1 0.6667 0.3333 0.3559
As1 0.3333 0.6667 0.7838
```

Properties
size of the total moment	0.00	μB per formula unit
N(E_F)	0.84	states/eV per atom
formation energy without anion corrections	-66.5	meV/atom
calculated volume	25.2	Å³ per atom
DFT total energy	-3.1951	eV per atom
mass density	4.99	g/cm3

Question: Which value of calculated volume does entry 2 give?
Answer: 15.9 Å³ per atom